Sr2CoSbO6: optimized geometry, PBE with a Hubbard U.

Summary:
total magnetization	3.94	μB per formula unit
electronic total energy	-6.21	eV/atom

Lattice parameters (Å, degrees): 5.741 5.729 9.645 90.00 125.99 90.00
Space group P2_1/c (No. 14)
Symmetry-distinct sites (fractional):
Sr1 0.248 0.021 0.250 x4
Co1 0.500 0.000 0.000 x2
Sb1 0.000 0.000 0.500 x2
O1 0.187 0.229 0.971 x4
O2 0.241 0.716 0.971 x4
O3 0.311 0.007 0.759 x4